A plane-wave DFT calculation with GGA-PBE was carried out for YRhS2Cl after structural relaxation.

```
YRhS2Cl
1.0
4.735 0.000 0.000
0.000 4.735 0.000
0.000 0.000 4.557
Y Rh S Cl
1 1 2 1
direct
0.000 0.000 0.000 Y
0.500 0.500 0.500 Rh
0.000 0.500 0.500 S
0.500 0.000 0.500 S
0.500 0.500 0.000 Cl
```

SG	No. 123

***

A plane-wave DFT calculation with GGA-PBE was carried out for Y4RhS2Cl after structural relaxation.

```
Y4RhS2Cl
1.0
6.945 0.000 0.000
0.000 3.866 0.000
-2.207 0.000 6.675
Y Rh S Cl
4 1 2 1
direct
0.231 0.000 0.235 Y
0.235 0.500 0.748 Y
0.765 0.500 0.252 Y
0.769 0.000 0.765 Y
0.000 0.000 0.500 Rh
0.000 0.500 0.000 S
0.500 0.000 0.000 S
0.500 0.500 0.500 Cl
```

SG	No. 10

***

no.,uncorrected formation energy (meV per atom)
1,-722
2,-1495